(1)
DFT (GGA-PBE) results for Cs2Na16Li after structural relaxation.

Results
energy relative to the elements	31	meV per atom
electronic total energy	-1.270	eV per atom

Unit cell a=12.5089 b=12.5089 c=18.2523 alpha=90.00 beta=90.00 gamma=120.00
Space group R3m (No. 160, hexagonal axes)
One atom of each set of equivalent atoms:
Cs 0.0000 0.0000 0.0000 x3
Cs 0.0000 0.0000 0.3121 x3
Na 0.0000 0.0000 0.7479 x3
Na 0.9998 0.2846 0.6547 x18
Na 0.0082 0.5041 0.1555 x9
Na 0.0084 0.5042 0.5047 x9
Na 0.1731 0.3461 0.1396 x9
Li 0.0000 0.0000 0.5622 x3


(2)
DFT (GGA-PBE) results for Cs2NaLi2 after structural relaxation.

Results
energy relative to the elements	251	meV per atom
electronic total energy	-1.119	eV per atom
energy above the lowest structure with this stoichiometry	105.6	meV per atom

Unit cell a=11.891 b=11.891 c=4.142 alpha=90.00 beta=90.00 gamma=90.00
Space group P4/mbm (No. 127)
One atom of each set of equivalent atoms:
Cs 0.193 0.307 0.000 x4
Na 0.000 0.000 0.000 x2
Li 0.091 0.591 0.500 x4


(3)
DFT (GGA-PBE) results for CsNa2Li after structural relaxation.

Results
energy relative to the elements	100	meV per atom
electronic total energy	-1.251	eV per atom
energy above the lowest structure with this stoichiometry	5.6	meV per atom

Unit cell a=4.255 b=4.255 c=10.213 alpha=90.00 beta=90.00 gamma=90.00
Space group P4/mmm (No. 123)
One atom of each set of equivalent atoms:
Cs 0.000 0.000 0.000 x1
Na 0.500 0.500 0.327 x2
Li 0.000 0.000 0.500 x1